# 1
{
  "formula": "Sc2TaAu2",
  "functional": "PBE-GGA",
  "state": "relaxed",
  "space_group": "No. 139",
  "crystal_system": "tetragonal",
  "ef_kj_per_mol_fu": 75,
  "lattice": [[-2.1385, 2.1385, 5.7905], [2.1385, -2.1385, 5.7905], [2.1385, 2.1385, -5.7905]],
  "species": ["Sc", "Sc", "Ta", "Au", "Au"],
  "frac_coords": [[0.2500, 0.7500, 0.5000], [0.7500, 0.2500, 0.5000], [0.0000, 0.0000, 0.0000], [0.3901, 0.3901, 0.0000], [0.6099, 0.6099, 0.0000]]
}


# 2
{
  "formula": "ScTaAu2",
  "functional": "PBE-GGA",
  "state": "relaxed",
  "space_group": "No. 47",
  "crystal_system": "orthorhombic",
  "ef_kj_per_mol_fu": -109,
  "lattice": [[3.0371, 0.0000, 0.0000], [0.0000, 4.0754, 0.0000], [0.0000, 0.0000, 5.9686]],
  "species": ["Sc", "Ta", "Au", "Au"],
  "frac_coords": [[0.0000, 0.0000, 0.0000], [0.0000, 0.0000, 0.5000], [0.5000, 0.5000, 0.2565], [0.5000, 0.5000, 0.7435]]
}


no.,total magnetization (Bohr magnetons per cell),DFT total energy (eV per atom)
1,0.00,-6.059
2,0.00,-6.466